The following is a SCAN calculation of a PBEsol-optimized structure of MgSeBr3, from the Alexandria database.

It has space group Pm-3m (No. 221), with a = 5.2003 Å, b = 5.2003 Å, c = 5.2003 Å, α = 90.00°, β = 90.00° and γ = 90.00°. The inequivalent atoms are Mg at (0.0000, 0.0000, 0.0000), Se at (0.5000, 0.5000, 0.5000) and Br at (0.0000, 0.0000, 0.5000).

Its raw total energy is -86.0 eV per cell. The calculated density comes out at 4.05 g/cm³. For the formation energy (no corrections), the calculation gives -0.5093 eV per atom. For the density of states at the Fermi level, the calculation gives 0.4 states/eV per cell.

=====

The following is a SCAN calculation of a PBEsol-optimized structure of ZrBe2Pt2, from the Alexandria database.

It has space group P4/mbm (No. 127), with a = 6.9925 Å, b = 6.9925 Å, c = 2.7157 Å, α = 90.00°, β = 90.00° and γ = 90.00°. The inequivalent atoms are Zr at (0.0000, 0.0000, 0.0000), Be at (0.1149, 0.3851, 0.0000) and Pt at (0.1749, 0.6749, 0.5000).

Its raw total energy is -369.0 eV per cell. The calculated density comes out at 12.49 g/cm³. The value obtained for the formation energy is -4.70 eV per formula unit. For the density of states at the Fermi level, the calculation gives 4.6 states/eV per cell.